# Na3Cu2Cl7 | Alexandria | GGA-PBE | optimized geometry
data_Na3Cu2Cl7
_chemical_formula_sum 'Na3 Cu2 Cl7'
_cell_length_a 12.451
_cell_length_b 12.451
_cell_length_c 4.745
_cell_angle_alpha 90.00
_cell_angle_beta 90.00
_cell_angle_gamma 157.32
_symmetry_space_group_name_H-M 'P 1'
_symmetry_Int_Tables_number 1
loop_
_symmetry_equiv_pos_as_xyz
'x,y,z'
loop_
_atom_site_label
_atom_site_type_symbol
_atom_site_fract_x
_atom_site_fract_y
_atom_site_fract_z
Na1 Na 0.000 0.000 0.000
Na2 Na 0.166 0.834 0.000
Na3 Na 0.834 0.166 0.000
Cu1 Cu 0.401 0.599 0.500
Cu2 Cu 0.599 0.401 0.500
Cl1 Cl 0.093 0.907 0.500
Cl2 Cl 0.306 0.694 0.500
Cl3 Cl 0.405 0.595 0.000
Cl4 Cl 0.500 0.500 0.500
Cl5 Cl 0.595 0.405 0.000
Cl6 Cl 0.694 0.306 0.500
Cl7 Cl 0.907 0.093 0.500
# Mass density   2.6 g/cm3
# Raw formation energy   -1034 meV/atom